# PBE RbNa2Tl3, relaxed
# Calculated formation energy = -46 meV/atom
# VASP energy = -1.830 eV/atom
data_RbNa2Tl3
_chemical_formula_sum 'Rb4 Na8 Tl12'
_space_group_name_H-M_alt 'C m c m'
_space_group_IT_number 63
_space_group_name_Hall '-C 2c 2'
_cell_length_a 12.773
_cell_length_b 11.189
_cell_length_c 6.190
_cell_angle_alpha 90.00
_cell_angle_beta 90.00
_cell_angle_gamma 90.00
loop_
_atom_site_label
_atom_site_fract_x
_atom_site_fract_y
_atom_site_fract_z
_atom_site_occupancy
Rb1 0.000 0.189 0.250 1
Na1 0.216 0.500 0.000 1
Tl1 0.000 0.415 0.750 1
Tl2 0.191 0.235 0.750 1